1.
# La2PC

La2PC after structural relaxation (GGA-PBE, Alexandria via LeMat-Bulk).

Unit cell a=8.8846 b=8.9322 c=9.0862 alpha=90.29 beta=90.23 gamma=90.18
Sites, in units of the cell vectors:
P 0.5012 0.6322 0.7597
P 0.0064 0.1215 0.2554
P 0.5016 0.8782 0.2457
P 0.1222 0.7548 0.0075
P 0.6260 0.2581 0.4982
P 0.3642 0.2457 0.9994
P 0.7494 0.4983 0.1220
P 0.2624 0.0026 0.6283
C 0.7449 0.0366 0.9444
C 0.9927 0.2954 0.7272
C 0.9468 0.7506 0.4814
C 0.2601 0.5040 0.3027
C 0.7472 0.9931 0.7995
C 0.9829 0.4479 0.7525
C 0.7971 0.7191 0.4964
C 0.2470 0.4777 0.4503
La 0.9433 0.0551 0.5683
La 0.2862 0.3259 0.6908
La 0.0403 0.0593 0.9356
La 0.1908 0.7935 0.3298
La 0.4285 0.5628 0.0701
La 0.0601 0.4339 0.0418
La 0.7051 0.3087 0.8106
La 0.3163 0.2084 0.3210
La 0.8234 0.8019 0.2114
La 0.5745 0.9400 0.5604
La 0.5476 0.5699 0.4436
La 0.4622 0.9419 0.9288
La 0.8226 0.6944 0.7899
La 0.9459 0.4434 0.4500
La 0.6910 0.1791 0.1824
La 0.1850 0.6909 0.6948

Output
Spin magnetization in μB per cell: 0.000
Calculated formation energy in eV per atom: -0.877
Calculated total energy in eV per atom: -6.999
Distance to the lowest polymorph of the same formula in meV per atom: 0.0

2.
# Pm2AlBi

Pm2AlBi after structural relaxation (GGA-PBE, Alexandria via LeMat-Bulk).

Unit cell a=4.4604 b=4.9949 c=4.9949 alpha=90.00 beta=90.00 gamma=90.00
Sites, in units of the cell vectors:
Bi 0.5000 0.5000 0.5000
Al 0.5000 0.0000 0.0000
Pm 0.0000 0.5000 0.0000
Pm 0.0000 0.0000 0.5000

Output
Spin magnetization in μB per cell: 0.000
Calculated formation energy in eV per atom: -0.467
Calculated total energy in eV per atom: -4.748
Distance to the lowest polymorph of the same formula in meV per atom: 40.3

3.
# ZnNi2AuCl

ZnNi2AuCl after structural relaxation (GGA-PBE, Alexandria via LeMat-Bulk).

Unit cell a=4.8332 b=4.8533 c=4.8332 alpha=90.00 beta=90.00 gamma=90.00
Last column: magnetic moment on the atom in μB.
Sites, in units of the cell vectors:
Zn 0.0000 0.5000 0.0000  0.02
Ni 0.5000 0.0000 0.0000  0.64
Ni 0.0000 0.0000 0.5000  0.92
Au 0.0000 0.0000 0.0000  0.00
Cl 0.5000 0.5000 0.5000  0.05

Output
Spin magnetization in μB per cell: 1.655
Calculated total energy in eV per atom: -2.792

4.
# AcTbSb

AcTbSb after structural relaxation (GGA-PBE, Alexandria via LeMat-Bulk).

Unit cell a=4.1113 b=4.1113 c=6.6259 alpha=108.07 beta=108.07 gamma=90.00
Last column: magnetic moment on the atom in μB.
Sites, in units of the cell vectors:
Ac 0.2750 0.2750 0.5501  0.14
Sb 0.5921 0.5921 0.1843  0.00
Tb 0.9828 0.9828 0.9657  0.28

Output
Spin magnetization in μB per cell: 0.862
Calculated total energy in eV per atom: -4.901
Distance to the lowest polymorph of the same formula in meV per atom: 184.3

5.
# ScNiOs2

ScNiOs2 after structural relaxation (GGA-PBE, Alexandria via LeMat-Bulk).

Unit cell a=4.3612 b=4.3612 c=4.3612 alpha=60.00 beta=60.00 gamma=60.00
Sites, in units of the cell vectors:
Os 0.2500 0.2500 0.2500
Os 0.7500 0.7500 0.7500
Sc 0.0000 0.0000 0.0000
Ni 0.5000 0.5000 0.5000

Output
Spin magnetization in μB per cell: 0.001
Calculated formation energy in eV per atom: 0.246
Calculated total energy in eV per atom: -8.397
Distance to the lowest polymorph of the same formula in meV per atom: 332.6

6.
# TbNdTmAg

TbNdTmAg after structural relaxation (GGA-PBE, Alexandria via LeMat-Bulk).

Unit cell a=3.6322 b=3.6322 c=8.6339 alpha=90.00 beta=90.00 gamma=90.00
Sites, in units of the cell vectors:
Tb 0.5000 0.5000 0.7802
Tm 0.5000 0.5000 0.3657
Nd 0.0000 0.0000 0.0750
Ag 0.0000 0.0000 0.5639

Output
Spin magnetization in μB per cell: 0.000
Calculated formation energy in eV per atom: -0.134
Calculated total energy in eV per atom: -4.315
Distance to the lowest polymorph of the same formula in meV per atom: 0.0

7.
# Dy2TiGe3

Dy2TiGe3 after structural relaxation (GGA-PBE, Alexandria via LeMat-Bulk).

Unit cell a=4.5415 b=5.6411 c=6.2814 alpha=116.68 beta=111.19 gamma=90.00
Sites, in units of the cell vectors:
Dy 0.6797 0.1797 0.3595
Dy 0.3203 0.8203 0.6405
Ge 0.0000 0.0000 0.0000
Ge 0.3683 0.3683 0.7366
Ge 0.6317 0.6317 0.2634
Ti 0.0000 0.5000 0.0000

Output
Spin magnetization in μB per cell: 0.000
Calculated formation energy in eV per atom: -0.585
Calculated total energy in eV per atom: -5.744

8.
# SrMoOs2

SrMoOs2 after structural relaxation (GGA-PBE, Alexandria via LeMat-Bulk).

Unit cell a=4.6440 b=4.6440 c=4.6440 alpha=60.00 beta=60.00 gamma=60.00
Sites, in units of the cell vectors:
Mo 0.5000 0.5000 0.5000
Os 0.2500 0.2500 0.2500
Os 0.7500 0.7500 0.7500
Sr 0.0000 0.0000 0.0000

Output
Spin magnetization in μB per cell: 0.000
Calculated formation energy in eV per atom: 0.918
Calculated total energy in eV per atom: -7.825
Distance to the lowest polymorph of the same formula in meV per atom: 411.4